Record 1
ErPa3Co2: optimized geometry, GGA-PBE.

a b c (Å): 16.3062 3.4206 9.5521
angles (deg): 90.00 107.82 90.00
Space group C2/m (No. 12)
One atom of each set of equivalent atoms:
Er (0.1164, 0.0000, 0.1480) x4
Pa (0.0237, 0.0000, 0.6504) x4
Pa (0.1670, 0.5000, 0.5089) x4
Pa (0.1784, 0.5000, 0.8888) x4
Co (0.0298, 0.5000, 0.8796) x4
Co (0.2293, 0.0000, 0.7317) x4

E_tot ... -48.3 eV per formula unit
Formation energy ... -172 meV per atom
Magnetic moment ... 0.00 μB/cell


Record 2
Er2Pa2Co3: optimized geometry, GGA-PBE.

a b c (Å): 3.5803 6.4605 6.8960
angles (deg): 79.77 75.08 74.17
Space group P-1 (No. 2)
One atom of each set of equivalent atoms:
Er (0.0676, 0.2376, 0.1266) x2
Pa (0.3180, 0.2582, 0.6059) x2
Co (0.0000, 0.0000, 0.5000) x1
Co (0.3665, 0.5535, 0.2151) x2

E_tot ... -51.5 eV per formula unit
Formation energy ... -294 meV per atom
Magnetic moment ... 0.00 μB/cell


Record 3
ErPa2Co9: optimized geometry, GGA-PBE.

a b c (Å): 4.8627 4.8627 24.5963
angles (deg): 90.00 90.00 120.00
Space group R-3m (No. 166, hexagonal axes)
One atom of each set of equivalent atoms:
Er (0.0000, 0.0000, 0.0000) x3
Pa (0.0000, 0.0000, 0.1382) x6
Co (0.0000, 0.0000, 0.3328) x6
Co (0.0000, 0.0000, 0.5000) x3
Co (0.0009, 0.5004, 0.0814) x18

E_tot ... -90.6 eV per formula unit
Formation energy ... -256 meV per atom
Magnetic moment ... 19.84 μB/cell


Please write out number 3 again, unchanged.
ErPa2Co9: optimized geometry, GGA-PBE.

a b c (Å): 4.8627 4.8627 24.5963
angles (deg): 90.00 90.00 120.00
Space group R-3m (No. 166, hexagonal axes)
One atom of each set of equivalent atoms:
Er (0.0000, 0.0000, 0.0000) x3
Pa (0.0000, 0.0000, 0.1382) x6
Co (0.0000, 0.0000, 0.3328) x6
Co (0.0000, 0.0000, 0.5000) x3
Co (0.0009, 0.5004, 0.0814) x18

E_tot ... -90.6 eV per formula unit
Formation energy ... -256 meV per atom
Magnetic moment ... 19.84 μB/cell


Q: Number 1 is which compound?
A: ErPa3Co2